Entry w
Computed, not measured: a geometry-optimized BaLa2Sc structure at the PBE level of DFT.

a b c (Å): 6.395 6.395 6.574
angles (deg): 80.77 80.77 33.72
Fractional coordinates of all 4 atoms:
1 La 0.994 0.994 0.033
2 La 0.242 0.242 0.248
3 Sc 0.508 0.508 0.483
4 Ba 0.756 0.756 0.735

***

Entry x
Computed, not measured: a geometry-optimized BaLa2Sc structure at the PBE level of DFT.

a b c (Å): 5.975 5.975 5.975
angles (deg): 60.00 60.00 60.00
Fractional coordinates of all 4 atoms:
1 Ba 0.500 0.500 0.500
2 La 0.000 0.000 0.000
3 La 0.250 0.250 0.250
4 Sc 0.750 0.750 0.750

***

Short version: entry x is the least stable of them.

***

Entry w
Computed, not measured: a geometry-optimized BaLa2Sc structure at the PBE level of DFT.

a b c (Å): 6.360 6.360 6.658
angles (deg): 81.31 81.31 33.87
Fractional coordinates of all 4 atoms:
1 Sc 0.250 0.250 0.250
2 La 0.512 0.512 0.466
3 La 0.988 0.988 0.034
4 Ba 0.750 0.750 0.750

***

Entry x
Computed, not measured: a geometry-optimized BaLa2Sc structure at the PBE level of DFT.

a b c (Å): 3.999 6.113 6.117
angles (deg): 90.00 90.00 90.00
Fractional coordinates of all 4 atoms:
1 La 0.500 0.500 0.000
2 La 0.000 0.000 0.000
3 Sc 0.500 0.000 0.500
4 Ba 0.000 0.500 0.500

***

Short version: entry x is the least stable of them.

***

Entry w
Computed, not measured: a geometry-optimized BaLa2ScTc structure at the PBE level of DFT.

a b c (Å): 5.657 6.036 5.657
angles (deg): 90.00 90.00 90.00
Fractional coordinates of all 5 atoms:
1 Tc 0.500 0.500 0.500
2 Ba 0.000 0.500 0.000
3 La 0.500 0.000 0.000
4 La 0.000 0.000 0.500
5 Sc 0.000 0.000 0.000

***

Entry x
Computed, not measured: a geometry-optimized BaLa2ScTc structure at the PBE level of DFT.

a b c (Å): 5.599 5.599 5.433
angles (deg): 90.00 90.00 90.00
Fractional coordinates of all 5 atoms:
1 La 0.000 0.500 0.000
2 La 0.500 0.000 0.000
3 Sc 0.000 0.000 0.500
4 Ba 0.500 0.500 0.500
5 Tc 0.000 0.000 0.000

***

Short version: entry w is the least stable of them.

***

Entry w
Computed, not measured: a geometry-optimized BaLaSe structure at the PBE level of DFT.

a b c (Å): 4.309 4.309 7.497
angles (deg): 90.00 90.00 120.00
Fractional coordinates of all 3 atoms:
1 Ba 0.000 0.000 0.932
2 La 0.667 0.333 0.420
3 Se 0.333 0.667 0.648

***

Entry x
Computed, not measured: a geometry-optimized BaLaSe structure at the PBE level of DFT.

a b c (Å): 7.750 7.749 3.896
angles (deg): 75.46 75.42 29.11
Fractional coordinates of all 3 atoms:
1 Ba 0.030 0.030 0.970
2 Se 0.683 0.683 0.317
3 La 0.287 0.287 0.713

***

Short version: entry x is the least stable of them.

***

Entry w
Computed, not measured: a geometry-optimized BaLa3Se structure at the PBE level of DFT.

a b c (Å): 5.879 5.879 5.879
angles (deg): 90.00 90.00 90.00
Fractional coordinates of all 5 atoms:
1 Se 0.500 0.500 0.500
2 La 0.500 0.000 0.000
3 La 0.000 0.500 0.000
4 La 0.000 0.000 0.500
5 Ba 0.000 0.000 0.000

***

Entry x
Computed, not measured: a geometry-optimized BaLa3Se structure at the PBE level of DFT.

a b c (Å): 5.887 5.887 5.887
angles (deg): 90.00 90.00 90.00
Fractional coordinates of all 5 atoms:
1 La 0.000 0.500 0.000
2 La 0.500 0.000 0.000
3 La 0.000 0.000 0.500
4 Se 0.000 0.000 0.000
5 Ba 0.500 0.500 0.500

***

Short version: entry w is the least stable of them.

***

Entry w
Computed, not measured: a geometry-optimized Ba3LaSe structure at the PBE level of DFT.

a b c (Å): 6.239 6.239 6.239
angles (deg): 90.00 90.00 90.00
Fractional coordinates of all 5 atoms:
1 Ba 0.500 0.000 0.000
2 Ba 0.000 0.500 0.000
3 Ba 0.000 0.000 0.500
4 Se 0.500 0.500 0.500
5 La 0.000 0.000 0.000

***

Entry x
Computed, not measured: a geometry-optimized Ba3LaSe structure at the PBE level of DFT.

a b c (Å): 6.373 6.373 6.373
angles (deg): 90.00 90.00 90.00
Fractional coordinates of all 5 atoms:
1 Ba 0.500 0.000 0.000
2 Ba 0.000 0.500 0.000
3 Ba 0.000 0.000 0.500
4 Se 0.000 0.000 0.000
5 La 0.500 0.500 0.500

***

Short version: entry w is the least stable of them.